(1)
The following is a PBEsol calculation of CaTc2IrRu after structural relaxation, from Alexandria via LeMat-Bulk.

Properties
Magnetization, μB per formula unit: 0.00
E_tot, eV/atom: -6.2322
Formation enthalpy at 0 K, meV per atom: 2700

a b c (Å): 4.3809 4.3809 4.3641
angles (deg): 90.00 90.00 90.00
Positions (direct):
1 Ru 0.0000 0.0000 0.5000
2 Ca 0.0000 0.0000 0.0000
3 Ir 0.5000 0.5000 0.5000
4 Tc 0.0000 0.5000 0.0000
5 Tc 0.5000 0.0000 0.0000

---

(2)
The following is a PBEsol calculation of NbAsCl2 after structural relaxation, from Alexandria via LeMat-Bulk.

Properties
Magnetization, μB per formula unit: 0.00
Energy relative to the elements, uncorrected, eV per atom: 0.1859
E_tot, eV/atom: -4.8000

a b c (Å): 4.5387 4.5387 4.5387
angles (deg): 60.00 60.00 60.00
Positions (direct):
1 Nb 0.5000 0.5000 0.5000
2 As 0.0000 0.0000 0.0000
3 Cl 0.2500 0.2500 0.2500
4 Cl 0.7500 0.7500 0.7500

---

(3)
The following is a PBEsol calculation of LiMg2Pb after structural relaxation, from Alexandria via LeMat-Bulk.

Properties
Magnetization, μB per formula unit: 0.00
E_tot, eV/atom: -2.5048
Formation enthalpy at 0 K, meV per atom: -155

a b c (Å): 4.4706 4.4706 5.3816
angles (deg): 114.54 114.54 90.00
Positions (direct):
1 Pb 0.0000 0.0000 0.0000
2 Mg 0.5000 0.5000 0.0000
3 Mg 0.7500 0.2500 0.5000
4 Li 0.2500 0.7500 0.5000

---

(4)
The following is a PBEsol calculation of Dy3Pd4 after structural relaxation, from Alexandria via LeMat-Bulk.

Properties
Magnetization, μB per formula unit: 0.00
E_tot, eV/atom: -6.4545
Formation enthalpy at 0 K, meV per atom: -916

a b c (Å): 5.6479 7.7378 7.7378
angles (deg): 114.28 104.08 104.08
Positions (direct):
1 Dy 0.9752 0.3804 0.2524
2 Dy 0.7228 0.7476 0.1280
3 Dy 0.5948 0.8720 0.6196
4 Dy 0.0248 0.6196 0.7476
5 Dy 0.2772 0.2524 0.8720
6 Dy 0.4052 0.1280 0.3804
7 Pd 0.0000 0.0000 0.0000
8 Pd 0.5000 0.0000 0.0000
9 Pd 0.9382 0.1646 0.4863
10 Pd 0.4519 0.5137 0.6783
11 Pd 0.7736 0.3217 0.8354
12 Pd 0.0618 0.8354 0.5137
13 Pd 0.5481 0.4863 0.3217
14 Pd 0.2264 0.6783 0.1646

---

(5)
The following is a PBEsol calculation of CaBeBr after structural relaxation, from Alexandria via LeMat-Bulk.

Properties
Magnetization, μB per formula unit: 0.00
Energy relative to the elements, uncorrected, eV per atom: -0.1481
E_tot, eV/atom: -2.8158
Offset from the most stable computed form, eV/f.u.: 0.00

a b c (Å): 3.5519 3.5519 6.4996
angles (deg): 105.86 105.86 90.00
Positions (direct):
1 Be 0.9729 0.9729 0.9458
2 Ca 0.3303 0.3303 0.6606
3 Br 0.6968 0.6968 0.3936

---

(6)
The following is a PBEsol calculation of NiHgSe2 after structural relaxation, from Alexandria via LeMat-Bulk.

Properties
Magnetization, μB per formula unit: 0.00
Energy relative to the elements, uncorrected, eV per atom: -0.1722
E_tot, eV/atom: -3.7784

a b c (Å): 3.4636 4.3143 6.3129
angles (deg): 104.51 90.00 113.67
Positions (direct):
1 Ni 0.0000 0.0000 0.5000
2 Hg 0.5000 0.0000 0.0000
3 Se 0.6619 0.3239 0.6997
4 Se 0.3381 0.6761 0.3003

---

(7)
The following is a PBEsol calculation of MgZnAu3 after structural relaxation, from Alexandria via LeMat-Bulk.

Properties
Magnetization, μB per formula unit: 0.00
E_tot, eV/atom: -2.7871
Formation enthalpy at 0 K, meV per atom: 227

a b c (Å): 4.7326 4.7326 4.7326
angles (deg): 90.00 90.00 90.00
Positions (direct):
1 Zn 0.0000 0.0000 0.0000
2 Au 0.0000 0.5000 0.0000
3 Au 0.0000 0.0000 0.5000
4 Au 0.5000 0.0000 0.0000
5 Mg 0.5000 0.5000 0.5000

---

(8)
The following is a PBEsol calculation of CaCuIrC2 after structural relaxation, from Alexandria via LeMat-Bulk.

Properties
Magnetization, μB per formula unit: 0.00
E_tot, eV/atom: -6.2697
Formation enthalpy at 0 K, meV per atom: 846

a b c (Å): 3.9499 3.9499 4.7147
angles (deg): 90.00 90.00 90.00
Positions (direct):
1 Ca 0.5000 0.5000 0.5000
2 Ir 0.0000 0.0000 0.0000
3 C 0.0000 0.5000 0.0000
4 C 0.5000 0.0000 0.0000
5 Cu 0.0000 0.0000 0.5000

---

(9)
The following is a PBEsol calculation of Sr3Eu after structural relaxation, from Alexandria via LeMat-Bulk.

Properties
Magnetization, μB per formula unit: 7.54
E_tot, eV/atom: -3.9802
Offset from the most stable computed form, eV/f.u.: 0.00
Formation enthalpy at 0 K, meV per atom: 41

a b c (Å): 6.4853 6.4853 6.4853
angles (deg): 60.00 60.00 60.00
Each line ends with the local moment (μB).
Positions (direct):
1 Eu 0.0000 0.0000 0.0000  6.94
2 Sr 0.2500 0.2500 0.2500  0.03
3 Sr 0.7500 0.7500 0.7500  0.03
4 Sr 0.5000 0.5000 0.5000  0.01

---

(10)
The following is a PBEsol calculation of LiInOs2 after structural relaxation, from Alexandria via LeMat-Bulk.

Properties
Magnetization, μB per formula unit: 0.00
E_tot, eV/atom: -6.8703
Formation enthalpy at 0 K, meV per atom: 475

a b c (Å): 2.9370 4.5429 5.2481
angles (deg): 115.65 106.25 90.00
Positions (direct):
1 In 0.5001 0.5001 0.0002
2 Li 0.7415 0.2415 0.4830
3 Os 0.9953 0.9953 0.9906
4 Os 0.2631 0.7631 0.5262

---

(11)
The following is a PBEsol calculation of NiMoP2 after structural relaxation, from Alexandria via LeMat-Bulk.

Properties
Magnetization, μB per formula unit: 0.00
E_tot, eV/atom: -7.6980
Formation enthalpy at 0 K, meV per atom: -321

a b c (Å): 3.0363 3.0407 5.5800
angles (deg): 90.00 100.05 90.00
Positions (direct):
1 Mo 0.5000 0.5000 0.0000
2 Ni 0.5000 0.5000 0.5000
3 P 0.9136 0.0000 0.7538
4 P 0.0864 0.0000 0.2462

---

(12)
The following is a PBEsol calculation of TaMn3In after structural relaxation, from Alexandria via LeMat-Bulk.

Properties
Magnetization, μB per formula unit: 7.26
E_tot, eV/atom: -7.6122
Formation enthalpy at 0 K, meV per atom: 1351

a b c (Å): 4.5768 4.5768 4.5768
angles (deg): 90.00 90.00 90.00
Each line ends with the local moment (μB).
Positions (direct):
1 In 0.5000 0.5000 0.5000  -0.09
2 Mn 0.0000 0.5000 0.0000  2.68
3 Mn 0.0000 0.0000 0.5000  2.68
4 Mn 0.5000 0.0000 0.0000  2.68
5 Ta 0.0000 0.0000 0.0000  -0.75

---

(13)
The following is a PBEsol calculation of NaCa2As2 after structural relaxation, from Alexandria via LeMat-Bulk.

Properties
Magnetization, μB per formula unit: 0.00
E_tot, eV/atom: -4.0420
Formation enthalpy at 0 K, meV per atom: -866

a b c (Å): 3.4737 8.4165 8.4165
angles (deg): 90.00 90.00 90.00
Positions (direct):
1 Na 0.0000 0.0000 0.0000
2 Na 0.0000 0.5000 0.5000
3 As 0.0000 0.3358 0.8358
4 As 0.0000 0.8358 0.6642
5 As 0.0000 0.6642 0.1642
6 As 0.0000 0.1642 0.3358
7 Ca 0.5000 0.1366 0.6366
8 Ca 0.5000 0.6366 0.8634
9 Ca 0.5000 0.8634 0.3634
10 Ca 0.5000 0.3634 0.1366

---

(14)
The following is a PBEsol calculation of Ba2Cd after structural relaxation, from Alexandria via LeMat-Bulk.

Properties
Magnetization, μB per formula unit: 0.00
E_tot, eV/atom: -2.0024
Formation enthalpy at 0 K, meV per atom: -171

a b c (Å): 4.3927 7.9295 8.6237
angles (deg): 73.42 75.24 73.91
Positions (direct):
1 Ba 0.4081 0.2933 0.8906
2 Ba 0.1654 0.2400 0.4291
3 Ba 0.8346 0.7600 0.5709
4 Ba 0.5919 0.7067 0.1094
5 Cd 0.8826 0.0563 0.1784
6 Cd 0.1174 0.9437 0.8216

---

(15)
The following is a PBEsol calculation of Rb2SbCl3F2 after structural relaxation, from Alexandria via LeMat-Bulk.

Properties
Magnetization, μB per formula unit: 0.00
Energy relative to the elements, uncorrected, eV per atom: -1.9549
E_tot, eV/atom: -4.0157

a b c (Å): 7.4234 7.4306 13.0577
angles (deg): 84.62 79.02 60.67
Positions (direct):
1 Cl 0.1898 0.6857 0.4990
2 Cl 0.8102 0.3143 0.5010
3 Cl 0.5000 0.0000 0.5000
4 Cl 0.1472 0.6697 0.8830
5 Cl 0.8528 0.3303 0.1170
6 Cl 0.7373 0.8920 0.1179
7 Cl 0.2627 0.1080 0.8821
8 Cl 0.7097 0.2197 0.8828
9 Cl 0.2903 0.7803 0.1172
10 F 0.4359 0.3402 0.3044
11 F 0.5641 0.6598 0.6956
12 F 0.7749 0.8710 0.6951
13 F 0.2251 0.1290 0.3049
14 F 0.0072 0.5553 0.3104
15 F 0.9928 0.4447 0.6896
16 Rb 0.8982 0.0002 0.3148
17 Rb 0.1018 0.9998 0.6852
18 Rb 0.3052 0.3319 0.0916
19 Rb 0.6948 0.6681 0.9084
20 Rb 0.4362 0.3368 0.6925
21 Rb 0.5638 0.6632 0.3075
22 Sb 0.1953 0.3380 0.4007
23 Sb 0.8047 0.6620 0.5993
24 Sb 0.0000 0.0000 0.0000

---

(16)
The following is a PBEsol calculation of RbIn3Rh after structural relaxation, from Alexandria via LeMat-Bulk.

Properties
Magnetization, μB per formula unit: 0.00
E_tot, eV/atom: -3.8193
Formation enthalpy at 0 K, meV per atom: -197

a b c (Å): 5.1677 5.1677 5.1677
angles (deg): 90.00 90.00 90.00
Positions (direct):
1 Rh 0.0000 0.0000 0.0000
2 Rb 0.5000 0.5000 0.5000
3 In 0.0000 0.5000 0.0000
4 In 0.0000 0.0000 0.5000
5 In 0.5000 0.0000 0.0000

---

(17)
The following is a PBEsol calculation of EuGdRh2 after structural relaxation, from Alexandria via LeMat-Bulk.

Properties
Magnetization, μB per formula unit: 13.71
E_tot, eV/atom: -10.8488
Formation enthalpy at 0 K, meV per atom: -527

a b c (Å): 4.8249 4.8249 4.8249
angles (deg): 60.00 60.00 60.00
Each line ends with the local moment (μB).
Positions (direct):
1 Eu 0.5000 0.5000 0.5000  6.64
2 Gd 0.0000 0.0000 0.0000  6.98
3 Rh 0.2500 0.2500 0.2500  -0.11
4 Rh 0.7500 0.7500 0.7500  -0.11

---

(18)
The following is a PBEsol calculation of Ca2CrRe after structural relaxation, from Alexandria via LeMat-Bulk.

Properties
Magnetization, μB per formula unit: 0.69
E_tot, eV/atom: -5.9303
Offset from the most stable computed form, eV/f.u.: 0.00
Formation enthalpy at 0 K, meV per atom: 1030

a b c (Å): 3.8127 3.8127 4.9667
angles (deg): 90.00 90.00 90.00
Each line ends with the local moment (μB).
Positions (direct):
1 Re 0.0000 0.0000 0.5000  -0.45
2 Ca 0.0000 0.5000 0.0000  -0.04
3 Ca 0.5000 0.0000 0.0000  -0.04
4 Cr 0.5000 0.5000 0.5000  1.27

---

(19)
The following is a PBEsol calculation of TaIn2BPb after structural relaxation, from Alexandria via LeMat-Bulk.

Properties
Magnetization, μB per formula unit: 2.13
E_tot, eV/atom: -3.4943
Formation enthalpy at 0 K, meV per atom: 2412

a b c (Å): 5.3562 5.5567 5.5567
angles (deg): 90.00 90.00 90.00
Each line ends with the local moment (μB).
Positions (direct):
1 Pb 0.0000 0.0000 0.0000  0.00
2 B 0.5000 0.5000 0.5000  -0.07
3 In 0.0000 0.0000 0.5000  0.00
4 In 0.0000 0.5000 0.0000  0.00
5 Ta 0.5000 0.0000 0.0000  1.51

---

(20)
The following is a PBEsol calculation of Zr3Pt after structural relaxation, from Alexandria via LeMat-Bulk.

Properties
Magnetization, μB per formula unit: 0.00
E_tot, eV/atom: -8.8346
Formation enthalpy at 0 K, meV per atom: -276

a b c (Å): 3.1945 3.1945 9.4424
angles (deg): 80.26 80.26 60.00
Positions (direct):
1 Pt 0.0000 0.0000 0.0000
2 Zr 0.2573 0.2573 0.2282
3 Zr 0.5000 0.5000 0.5000
4 Zr 0.7427 0.7427 0.7718

---

(21)
The following is a PBEsol calculation of Al2ReTcSb after structural relaxation, from Alexandria via LeMat-Bulk.

Properties
Magnetization, μB per formula unit: 0.71
Energy relative to the elements, uncorrected, eV per atom: 0.8997
E_tot, eV/atom: -6.5680

a b c (Å): 4.6999 4.6999 4.6666
angles (deg): 90.00 90.00 90.00
Each line ends with the local moment (μB).
Positions (direct):
1 Re 0.0000 0.0000 0.5000  0.64
2 Al 0.0000 0.5000 0.0000  0.00
3 Al 0.5000 0.0000 0.0000  0.00
4 Tc 0.0000 0.0000 0.0000  -0.01
5 Sb 0.5000 0.5000 0.5000  -0.02

---

(22)
The following is a PBEsol calculation of PIrPdO2 after structural relaxation, from Alexandria via LeMat-Bulk.

Properties
Magnetization, μB per formula unit: 0.00
Energy relative to the elements, uncorrected, eV per atom: -0.0907
E_tot, eV/atom: -6.5051

a b c (Å): 3.6436 3.6436 5.3986
angles (deg): 90.00 90.00 90.00
Positions (direct):
1 P 0.0000 0.0000 0.5000
2 Ir 0.0000 0.0000 0.0000
3 O 0.0000 0.5000 0.0000
4 O 0.5000 0.0000 0.0000
5 Pd 0.5000 0.5000 0.5000

---

(23)
The following is a PBEsol calculation of TeRhBr2 after structural relaxation, from Alexandria via LeMat-Bulk.

Properties
Magnetization, μB per formula unit: 0.00
Energy relative to the elements, uncorrected, eV per atom: 0.1161
E_tot, eV/atom: -3.7350

a b c (Å): 4.9613 7.6055 7.6055
angles (deg): 83.89 70.96 70.96
Positions (direct):
1 Te 0.0000 0.0000 0.0000
2 Te 0.7500 0.5000 0.5000
3 Rh 0.5000 0.0000 0.0000
4 Rh 0.2500 0.5000 0.5000
5 Br 0.8750 0.7500 0.7500
6 Br 0.3750 0.2500 0.2500
7 Br 0.3750 0.7500 0.2500
8 Br 0.3750 0.2500 0.7500

---

(24)
The following is a PBEsol calculation of AlP2Pb after structural relaxation, from Alexandria via LeMat-Bulk.

Properties
Magnetization, μB per formula unit: 0.00
E_tot, eV/atom: -5.0059
Offset from the most stable computed form, eV/f.u.: 0.00
Formation enthalpy at 0 K, meV per atom: -88

a b c (Å): 3.7854 3.7854 6.6606
angles (deg): 73.49 73.49 60.00
Positions (direct):
1 Pb 0.0000 0.0000 0.0000
2 P 0.7658 0.7658 0.7026
3 P 0.2342 0.2342 0.2974
4 Al 0.5000 0.5000 0.5000

---

(25)
The following is a PBEsol calculation of FeCo after structural relaxation, from Alexandria via LeMat-Bulk.

Properties
Magnetization, μB per formula unit: 4.21
E_tot, eV/atom: -8.3027
Formation enthalpy at 0 K, meV per atom: 48

a b c (Å): 2.4177 2.4177 11.8044
angles (deg): 90.00 90.00 109.76
Each line ends with the local moment (μB).
Positions (direct):
1 Co 0.0000 0.0000 0.0011  1.75
2 Co 0.5000 0.5000 0.1669  1.73
3 Co 0.5000 0.5000 0.4989  1.76
4 Fe 0.0000 0.0000 0.3324  2.54
5 Fe 0.0000 0.0000 0.6659  2.47
6 Fe 0.5000 0.5000 0.8349  2.46

---

(26)
The following is a PBEsol calculation of Al2FeRe after structural relaxation, from Alexandria via LeMat-Bulk.

Properties
Magnetization, μB per formula unit: 2.47
E_tot, eV/atom: -7.7041
Offset from the most stable computed form, eV/f.u.: 0.36
Formation enthalpy at 0 K, meV per atom: -84

a b c (Å): 3.6794 3.6794 4.7415
angles (deg): 112.83 112.83 90.00
Each line ends with the local moment (μB).
Positions (direct):
1 Re 0.2500 0.7500 0.5000  0.20
2 Fe 0.5000 0.5000 0.0000  2.21
3 Al 0.0000 0.0000 0.0000  0.00
4 Al 0.7500 0.2500 0.5000  -0.01

---

(27)
The following is a PBEsol calculation of KBaHg after structural relaxation, from Alexandria via LeMat-Bulk.

Properties
Magnetization, μB per formula unit: 0.00
E_tot, eV/atom: -1.1572
Formation enthalpy at 0 K, meV per atom: 126

a b c (Å): 5.7251 5.7251 5.7251
angles (deg): 60.00 60.00 60.00
Positions (direct):
1 Ba 0.2500 0.2500 0.2500
2 Hg 0.0000 0.0000 0.0000
3 K 0.5000 0.5000 0.5000

---

(28)
The following is a PBEsol calculation of KMg2Te after structural relaxation, from Alexandria via LeMat-Bulk.

Properties
Magnetization, μB per formula unit: 0.00
Energy relative to the elements, uncorrected, eV per atom: -0.1681
E_tot, eV/atom: -2.1915

a b c (Å): 3.9955 3.9955 7.6871
angles (deg): 90.00 90.00 90.00
Positions (direct):
1 K 0.5000 0.5000 0.5000
2 Mg 0.0000 0.0000 0.8078
3 Mg 0.0000 0.0000 0.1922
4 Te 0.5000 0.5000 0.0000